# Co2BiHF | Alexandria via LeMat-Bulk | PBE with a Hubbard U | relaxed
# electronic total energy: -3.3062 eV/atom
data_Co2BiHF
_chemical_formula_sum 'Co2 Bi1 H1 F1'
_cell_length_a 5.1711
_cell_length_b 5.1711
_cell_length_c 3.9814
_cell_angle_alpha 90.00
_cell_angle_beta 90.00
_cell_angle_gamma 90.00
_symmetry_space_group_name_H-M 'P 4/m m m'
_symmetry_Int_Tables_number 123
_symmetry_space_group_name_Hall '-P 4 2'
loop_
_atom_site_label
_atom_site_fract_x
_atom_site_fract_y
_atom_site_fract_z
Co1 0.0000 0.5000 0.0000
Bi1 0.0000 0.0000 0.0000
H1 0.0000 0.0000 0.5000
F1 0.5000 0.5000 0.5000